Computed, not measured: a geometry-optimized Zr2ReAg structure at the PBE level of DFT.

## Properties
Symmetry: No. 123
Energy of formation, eV/atom: -0.104
Magnetic moment, μB/f.u.: 0.0
Excess energy over the best structure of this formula in the dataset, eV/f.u.: 0.293
DOS(E_F), states/eV/f.u.: 3.2

Cell lengths 4.736, 4.736, 3.392 Å; angles 90.00, 90.00, 90.05 degrees
Positions (direct):
Re 0.000 0.500 0.500
Zr 0.500 0.500 0.000
Zr 0.000 0.000 0.000
Ag 0.500 0.000 0.500


Computed, not measured: a geometry-optimized Zr2ReAg structure at the PBE level of DFT.

## Properties
Symmetry: No. 225
Energy of formation, eV/atom: -0.129
Magnetic moment, μB/f.u.: 0.0
Excess energy over the best structure of this formula in the dataset, eV/f.u.: 0.196
DOS(E_F), states/eV/f.u.: 3.2

Cell lengths 4.762, 4.762, 4.762 Å; angles 60.00, 60.00, 60.00 degrees
Positions (direct):
Ag 0.000 0.000 0.000
Zr 0.250 0.250 0.250
Zr 0.750 0.750 0.750
Re 0.500 0.500 0.500


Computed, not measured: a geometry-optimized Zr2ReAg2 structure at the PBE level of DFT.

## Properties
Symmetry: No. 127
Energy of formation, eV/atom: 0.422
Magnetic moment, μB/f.u.: 0.0
Excess energy over the best structure of this formula in the dataset, eV/f.u.: 0.000
DOS(E_F), states/eV/f.u.: 5.8

Cell lengths 7.433, 7.433, 3.492 Å; angles 90.00, 90.00, 90.00 degrees
Positions (direct):
Re 0.000 0.000 0.000
Re 0.500 0.500 0.000
Ag 0.124 0.376 0.000
Ag 0.624 0.124 0.000
Ag 0.876 0.624 0.000
Ag 0.376 0.876 0.000
Zr 0.183 0.683 0.500
Zr 0.317 0.183 0.500
Zr 0.817 0.317 0.500
Zr 0.683 0.817 0.500